10
Lattice="8.383 -1.818 0.000 8.383 1.818 0.000 -1.851 0.000 7.487" Properties=species:S:1:pos:R:3 comment="Dy4NCl5, optimized geometry, DFT GGA-PBE" dft_energy_ev_per_cell=-54.58 space_group="No. 12" total_magnetization_mub_per_cell=0.00 pbc="T T T"
Cl 12.810 0.000 4.898
Dy 16.361 0.000 1.554
Dy 4.275 0.000 6.896
Cl 7.458 0.000 3.743
N 8.383 0.000 0.000
Cl 13.584 0.000 1.263
Dy -1.446 0.000 5.933
Dy 10.641 0.000 0.591
Cl 2.105 0.000 2.589
Cl 1.332 0.000 6.224

10
Lattice="8.243 -1.774 0.000 8.243 1.774 0.000 -1.771 0.000 7.492" Properties=species:S:1:pos:R:3 comment="Dy2Sc2NCl5, optimized geometry, DFT GGA-PBE" dft_energy_ev_per_cell=-58.01 space_group="No. 12" total_magnetization_mub_per_cell=0.00 pbc="T T T"
Cl 13.395 0.000 1.136
Cl 1.319 0.000 6.356
Cl 7.357 0.000 3.746
Sc 10.372 0.000 0.527
Cl 2.186 0.000 2.399
Dy -1.394 0.000 5.936
Dy 16.108 0.000 1.556
Sc 4.342 0.000 6.965
Cl 12.529 0.000 5.093
N 8.243 0.000 0.000

5
Lattice="-1.327 0.699 -3.315 -2.240 -0.145 2.864 1.347 9.943 1.557" Properties=species:S:1:pos:R:3 comment="SmDyNCl2, optimized geometry, DFT GGA-PBE" dft_energy_ev_per_cell=-31.02 space_group="No. 156" total_magnetization_mub_per_cell=0.00 pbc="T T T"
Cl -0.550 8.405 -0.004
Cl 0.254 1.875 0.294
Sm -1.135 4.086 -0.681
N -1.250 5.196 1.597
Dy 0.849 6.267 0.982